DFT (GGA+U) results for Sr2Sc3MnO8 after structural relaxation.

Computed properties:
calculated total energy	-7.841	eV per atom
total magnetization	4.00	μB per formula unit
density	3.9	Mg/m³

Cell lengths 6.3537, 6.3537, 18.0029 Å; angles 90.00, 90.00, 120.00 degrees
Space group R3m (No. 160, hexagonal axes)
One atom of each set of equivalent atoms:
Sr 0.0000 0.0000 0.0000 (multiplicity 3)
Sr 0.0000 0.0000 0.3537 (multiplicity 3)
Sc 0.0009 0.5005 0.4968 (multiplicity 9)
Mn 0.0000 0.0000 0.5311 (multiplicity 3)
O 0.0000 0.0000 0.2227 (multiplicity 3)
O 0.0000 0.0000 0.7777 (multiplicity 3)
O 0.0083 0.5042 0.7701 (multiplicity 9)
O 0.1704 0.3407 0.5672 (multiplicity 9)